1.
Compound: In2AgPt
Source: the Alexandria database
Functional: GGA-PBEsol
Structure: optimized geometry

Its energy above the most stable polymorph in this dataset is 0 meV per atom. Its calculated total energy is -0.1567 Ha/atom.

a = 2.938 Å, b = 4.500 Å, c = 6.584 Å
α = 109.97°, β = 102.89°, γ = 90.00°
Atoms (fractional coordinates):
Ag  0.802  0.302  0.604
Pt  0.511  0.511  0.022
In  0.979  0.979  0.958
In  0.208  0.708  0.417

2.
Compound: Be4ZnCu
Source: the Alexandria database
Functional: GGA-PBEsol
Structure: optimized geometry

Its calculated total energy is -0.1372 Ha/atom.

a = 4.267 Å, b = 4.267 Å, c = 4.267 Å
α = 60.00°, β = 60.00°, γ = 60.00°
Atoms (fractional coordinates):
Be  0.624  0.624  0.127
Be  0.127  0.624  0.624
Be  0.624  0.127  0.624
Be  0.624  0.624  0.624
Zn  0.000  0.000  0.000
Cu  0.250  0.250  0.250

3.
Compound: TaOs3
Source: the Alexandria database
Functional: GGA-PBEsol
Structure: optimized geometry

Its calculated total energy is -0.4571 Ha/atom.

a = 2.773 Å, b = 4.796 Å, c = 5.221 Å
α = 117.34°, β = 105.40°, γ = 90.00°
Atoms (fractional coordinates):
Os  0.754  0.752  0.508
Os  0.246  0.244  0.492
Os  0.500  0.168  0.000
Ta  0.000  0.671  0.000

4.
Compound: LiMnCo2
Source: the Alexandria database
Functional: GGA-PBEsol
Structure: optimized geometry

Its energy above the most stable polymorph in this dataset is 0 meV per atom. Its calculated total energy is -0.2406 Ha/atom.

a = 4.037 Å, b = 4.037 Å, c = 2.587 Å
α = 90.00°, β = 90.00°, γ = 90.00°
Last column: magnetic moment on the atom in μB.
Atoms (fractional coordinates):
Co  0.000  0.500  0.000  1.22
Co  0.500  0.000  0.000  1.22
Li  0.500  0.500  0.500  -0.03
Mn  0.000  0.000  0.500  2.00

5.
Compound: Li3InBr
Source: the Alexandria database
Functional: GGA-PBEsol
Structure: optimized geometry

The value obtained for the formation energy without anion corrections is -468 meV per atom. Its calculated total energy is -0.0962 Ha/atom.

a = 4.830 Å, b = 4.830 Å, c = 4.830 Å
α = 90.00°, β = 90.00°, γ = 90.00°
Atoms (fractional coordinates):
Li  0.000  0.500  0.000
Li  0.000  0.000  0.500
Li  0.500  0.000  0.000
Br  0.000  0.000  0.000
In  0.500  0.500  0.500

6.
Compound: ThSeO
Source: the Alexandria database
Functional: GGA-PBEsol
Structure: optimized geometry

The value obtained for the formation energy without anion corrections is -2964 meV per atom. Its calculated total energy is -0.3197 Ha/atom.

a = 4.000 Å, b = 4.000 Å, c = 6.989 Å
α = 90.00°, β = 90.00°, γ = 90.00°
Atoms (fractional coordinates):
Th  0.500  0.000  0.189
Th  0.000  0.500  0.811
Se  0.500  0.000  0.636
Se  0.000  0.500  0.364
O  0.000  0.000  0.000
O  0.500  0.500  0.000

7.
Compound: YZrIr4
Source: the Alexandria database
Functional: GGA-PBEsol
Structure: optimized geometry

Its calculated total energy is -0.3646 Ha/atom.

a = 5.243 Å, b = 5.243 Å, c = 5.243 Å
α = 60.00°, β = 60.00°, γ = 60.00°
Atoms (fractional coordinates):
Y  0.750  0.750  0.750
Ir  0.375  0.375  0.375
Ir  0.375  0.375  0.875
Ir  0.875  0.375  0.375
Ir  0.375  0.875  0.375
Zr  0.000  0.000  0.000

8.
Compound: FeSiSe2
Source: the Alexandria database
Functional: GGA-PBEsol
Structure: optimized geometry

The value obtained for the formation energy without anion corrections is -119 meV per atom. Its calculated total energy is -0.2103 Ha/atom.

a = 3.386 Å, b = 3.388 Å, c = 6.170 Å
α = 90.04°, β = 90.00°, γ = 90.00°
Last column: magnetic moment on the atom in μB.
Atoms (fractional coordinates):
Fe  0.500  0.125  0.625  1.08
Se  0.000  0.125  0.912  -0.03
Se  0.500  0.625  0.338  -0.03
Si  0.000  0.625  0.625  -0.03

9.
Compound: SnP2Se
Source: the Alexandria database
Functional: GGA-PBEsol
Structure: optimized geometry

The value obtained for the formation energy without anion corrections is 473 meV per atom. Its calculated total energy is -0.1635 Ha/atom.

a = 4.692 Å, b = 4.692 Å, c = 4.692 Å
α = 60.00°, β = 60.00°, γ = 60.00°
Atoms (fractional coordinates):
P  0.250  0.250  0.250
P  0.750  0.750  0.750
Sn  0.500  0.500  0.500
Se  0.000  0.000  0.000

10.
Compound: Mn2BePt
Source: the Alexandria database
Functional: GGA-PBEsol
Structure: optimized geometry

Its calculated total energy is -0.2812 Ha/atom.

a = 2.603 Å, b = 2.603 Å, c = 6.561 Å
α = 90.00°, β = 90.00°, γ = 90.00°
Last column: magnetic moment on the atom in μB.
Atoms (fractional coordinates):
Be  0.500  0.500  0.500  -0.06
Mn  0.000  0.000  0.713  1.62
Mn  0.000  0.000  0.287  1.62
Pt  0.500  0.500  0.000  -0.05

11.
Compound: BeCd3Sb
Source: the Alexandria database
Functional: GGA-PBEsol
Structure: optimized geometry

The value obtained for the formation energy without anion corrections is 401 meV per atom. Its calculated total energy is -0.0745 Ha/atom.

a = 4.741 Å, b = 4.741 Å, c = 4.741 Å
α = 90.00°, β = 90.00°, γ = 90.00°
Atoms (fractional coordinates):
Sb  0.500  0.500  0.500
Be  0.000  0.000  0.000
Cd  0.000  0.500  0.000
Cd  0.000  0.000  0.500
Cd  0.500  0.000  0.000

12.
Compound: La5Se
Source: the Alexandria database
Functional: GGA-PBEsol
Structure: optimized geometry

The value obtained for the formation energy without anion corrections is 87 meV per atom. Its calculated total energy is -0.1841 Ha/atom.

a = 6.408 Å, b = 6.408 Å, c = 6.408 Å
α = 60.00°, β = 60.00°, γ = 60.00°
Atoms (fractional coordinates):
La  0.250  0.250  0.250
La  0.623  0.131  0.623
La  0.623  0.623  0.131
La  0.623  0.623  0.623
La  0.131  0.623  0.623
Se  0.000  0.000  0.000